A plane-wave DFT calculation with PBE was carried out for a relaxed structure of La14ScAl.

Space-group type: Amm2 (38)
Formation enthalpy at 0 K in eV/f.u.: -0.3
Total energy in eV for the cell shown: -79.40
Size of the total moment in μB/cell: 0.00

Lattice parameters (Å, degrees): 7.245 7.245 10.382 90.00 90.00 90.00
Element x y z (fractional)
La  0.375  0.625  0.500
La  0.876  0.124  0.500
La  0.875  0.625  0.000
La  0.875  0.625  0.500
La  0.375  0.125  0.000
La  0.375  0.125  0.500
La  0.620  0.870  0.761
La  0.620  0.870  0.239
La  0.130  0.380  0.761
La  0.130  0.380  0.239
La  0.131  0.869  0.761
La  0.131  0.869  0.239
La  0.620  0.380  0.760
La  0.620  0.380  0.240
Sc  0.875  0.125  0.000
Al  0.375  0.625  0.000

A plane-wave DFT calculation with PBE was carried out for a relaxed structure of LaScAl3.

Space-group type: Pm-3m (221)
Formation enthalpy at 0 K in eV/f.u.: 1.1
Total energy in eV for the cell shown: -21.36
Size of the total moment in μB/cell: 0.00
Excess energy over the best structure of this formula in the dataset in meV per atom: 0

Lattice parameters (Å, degrees): 5.103 5.103 5.103 90.00 90.00 90.00
Element x y z (fractional)
Sc  0.000  0.000  0.000
Al  0.000  0.500  0.000
Al  0.000  0.000  0.500
Al  0.500  0.000  0.000
La  0.500  0.500  0.500

A plane-wave DFT calculation with PBE was carried out for a relaxed structure of LaScAl2.

Space-group type: P4mm (99)
Formation enthalpy at 0 K in eV/f.u.: -0.6
Total energy in eV for the cell shown: -19.38
Size of the total moment in μB/cell: 0.00
Excess energy over the best structure of this formula in the dataset in meV per atom: 238

Lattice parameters (Å, degrees): 3.349 3.340 8.414 90.00 90.00 90.00
Element x y z (fractional)
Sc  0.500  0.500  0.807
Al  0.000  0.000  0.025
Al  0.500  0.500  0.198
La  0.000  0.000  0.470

Repeat the first record exactly.
A plane-wave DFT calculation with PBE was carried out for a relaxed structure of La14ScAl.

Space-group type: Amm2 (38)
Formation enthalpy at 0 K in eV/f.u.: -0.3
Total energy in eV for the cell shown: -79.40
Size of the total moment in μB/cell: 0.00

Lattice parameters (Å, degrees): 7.245 7.245 10.382 90.00 90.00 90.00
Element x y z (fractional)
La  0.375  0.625  0.500
La  0.876  0.124  0.500
La  0.875  0.625  0.000
La  0.875  0.625  0.500
La  0.375  0.125  0.000
La  0.375  0.125  0.500
La  0.620  0.870  0.761
La  0.620  0.870  0.239
La  0.130  0.380  0.761
La  0.130  0.380  0.239
La  0.131  0.869  0.761
La  0.131  0.869  0.239
La  0.620  0.380  0.760
La  0.620  0.380  0.240
Sc  0.875  0.125  0.000
Al  0.375  0.625  0.000

Question: Which value of size of the total moment does entry 3 give?
Answer: 0.00 μB/cell